Rb5Mn2O6: optimized geometry, PBE with a Hubbard U.

**Total DFT energy (no corrections)**: -134.90 eV/cell
**DOS(E_F)**: 0.127 states/eV per atom
**Magnetization**: 0.54 μB per atom

POSCAR file:
```
Rb5Mn2O6
1.0
5.5558 -3.7121 0.0000
5.5558 3.7121 0.0000
-2.1534 0.0000 14.1446
Rb Mn O
10 4 12
direct
0.1237 0.8763 0.7500
0.1687 0.7316 0.0064
0.2684 0.8313 0.4936
0.2689 0.4205 0.2913
0.4205 0.2689 0.7913
0.5795 0.7311 0.2087
0.7311 0.5795 0.7087
0.7316 0.1687 0.5064
0.8313 0.2684 0.9936
0.8763 0.1237 0.2500
0.1541 0.4009 0.5730
0.4009 0.1541 0.0730
0.5991 0.8459 0.9270
0.8459 0.5991 0.4270
0.0680 0.3067 0.4458
0.1189 0.2054 0.6412
0.2054 0.1189 0.1412
0.3067 0.0680 0.9458
0.3816 0.4738 0.6235
0.4738 0.3816 0.1235
0.5262 0.6184 0.8765
0.6184 0.5262 0.3765
0.6933 0.9320 0.0542
0.7946 0.8811 0.8588
0.8811 0.7946 0.3588
0.9320 0.6933 0.5542
```